{
  "formula": "V3NiP4O16",
  "functional": "PBE with a Hubbard U",
  "state": "optimized geometry",
  "lattice": [[-0.803, -2.236, -5.333], [-2.040, -3.969, 1.971], [-8.996, 4.296, -0.447]],
  "species": ["O", "O", "O", "V", "V", "O", "O", "Ni", "P", "O", "O", "O", "O", "P", "O", "O", "O", "O", "P", "O", "V", "O", "O", "P"],
  "fractional_positions": [[0.211, 0.717, 0.169], [0.295, 0.250, 0.836], [0.299, 0.272, 0.329], [0.500, 0.968, 0.731], [0.500, 0.554, 0.223], [0.000, 0.209, 0.625], [0.500, 0.706, 0.883], [0.000, 0.055, 0.276], [0.500, 0.399, 0.909], [0.789, 0.717, 0.169], [0.500, 0.805, 0.372], [0.705, 0.250, 0.836], [0.000, 0.267, 0.110], [0.500, 0.114, 0.402], [0.500, 0.151, 0.553], [0.206, 0.753, 0.669], [0.794, 0.753, 0.669], [0.701, 0.272, 0.329], [0.000, 0.904, 0.593], [0.500, 0.333, 0.060], [0.000, 0.471, 0.770], [0.000, 0.846, 0.445], [0.000, 0.660, 0.947], [0.000, 0.574, 0.093]],
  "energy_ev_per_atom": -7.319,
  "magmom_total_mub_per_fu": 7.000
}